*A*
DFT (PBE) results for a relaxed K2ReOs crystal.

a b c (Å): 3.7805 5.8924 11.2095
angles (deg): 90.00 90.00 90.00
Closest atoms and distances in Å follow each position.
Space group Imm2 (No. 44)
Inequivalent atoms, fractional coordinates:
K  0.0000  0.0000  0.0000 [2 per cell]  4 Os 3.61, 4 Re 3.68-3.89, 6 K 3.73-3.79
K  0.0000  0.5000  0.2129 [2 per cell]  4 Re 3.64, 6 K 3.73-3.79, 4 Os 3.75-3.78
Re  0.0000  0.5000  0.8030 [2 per cell]  2 Os 2.30
Os  0.0000  0.0000  0.4203 [2 per cell]  2 Re 2.30

Results
M_tot = 0.000 μB/atom
DOS at the Fermi energy = 3.01 states/eV/f.u.

***

*B*
DFT (PBE) results for a relaxed K2ReOs crystal.

a b c (Å): 3.1023 3.9828 20.4095
angles (deg): 90.00 90.00 90.00
Closest atoms and distances in Å follow each position.
Space group Immm (No. 71)
Inequivalent atoms, fractional coordinates:
K  0.0000  0.0000  0.1448 [4 per cell]  2 K 3.10, 2 Os 3.34
Re  0.0000  0.5000  0.0000 [2 per cell]  4 Os 2.52
Os  0.0000  0.5000  0.5000 [2 per cell]  4 Re 2.52

Results
M_tot = 0.000 μB/atom
DOS at the Fermi energy = 3.51 states/eV/f.u.

***

Which structure is most stable, and how do the rest compare? From most to least stable: *B*, *A*.

***

*A*
DFT (PBE) results for a relaxed K2ReOs crystal.

a b c (Å): 7.7675 7.7675 7.7675
angles (deg): 90.00 90.00 90.00
Closest atoms and distances in Å follow each position.
Space group Fm-3m (No. 225)
Inequivalent atoms, fractional coordinates:
K  0.2500  0.2500  0.2500 [8 per cell]  4 Re 3.36, 4 Os 3.36
Re  0.0000  0.0000  0.0000 [4 per cell]  8 K 3.36
Os  0.0000  0.0000  0.5000 [4 per cell]  8 K 3.36

Results
M_tot = 1.740 μB/atom
DOS at the Fermi energy = 1.16 states/eV/f.u.

***

*B*
DFT (PBE) results for a relaxed K2ReOs crystal.

a b c (Å): 5.4973 11.8542 2.7435
angles (deg): 90.00 117.40 90.00
Closest atoms and distances in Å follow each position.
Space group C2/m (No. 12)
Inequivalent atoms, fractional coordinates:
K  0.2500  0.2500  0.0000 [4 per cell]  6 K 2.74-2.85
Re  0.0000  0.0000  0.5000 [2 per cell]  2 Re 2.74, 4 Os 2.75-2.85
Os  0.0000  0.5000  0.5000 [2 per cell]  2 Os 2.74, 4 Re 2.75-2.85

Results
M_tot = 0.000 μB/atom
DOS at the Fermi energy = 2.39 states/eV/f.u.

***

Which structure is most stable, and how do the rest compare? From most to least stable: *B*, *A*.

***

*A*
DFT (PBE) results for a relaxed K2ReOs crystal.

a b c (Å): 4.5923 4.5923 5.0807
angles (deg): 90.00 90.00 90.00
Closest atoms and distances in Å follow each position.
Space group P4/mmm (No. 123)
Inequivalent atoms, fractional coordinates:
K  0.0000  0.0000  0.2487 [2 per cell]  2 K 2.53-2.55
Re  0.5000  0.5000  0.5000 [1 per cell]  2 Os 2.54
Os  0.5000  0.5000  0.0000 [1 per cell]  2 Re 2.54

Results
M_tot = 0.798 μB/atom
DOS at the Fermi energy = 4.99 states/eV/f.u.

***

*B*
DFT (PBE) results for a relaxed K2ReOs crystal.

a b c (Å): 2.8417 4.0223 10.3363
angles (deg): 90.00 95.72 90.00
Closest atoms and distances in Å follow each position.
Space group Pm (No. 6)
Inequivalent atoms, fractional coordinates:
K  0.0000  0.0000  0.0000 [1 per cell]  2 K 2.84
K  0.4830  0.5000  0.5736 [1 per cell]  2 K 2.84
Re  0.5171  0.5000  0.2500 [1 per cell]  4 Os 2.48-2.70
Os  0.9760  0.0000  0.3269 [1 per cell]  4 Re 2.48-2.70

Results
M_tot = 0.000 μB/atom
DOS at the Fermi energy = 2.73 states/eV/f.u.

***

*C*
DFT (PBE) results for a relaxed K2ReOs crystal.

a b c (Å): 6.8731 6.8731 6.8731
angles (deg): 90.00 90.00 90.00
Closest atoms and distances in Å follow each position.
Space group F-43m (No. 216)
Inequivalent atoms, fractional coordinates:
K  0.0000  0.0000  0.0000 [4 per cell]  4 K 2.98, 4 Re 2.98
K  0.2500  0.2500  0.2500 [4 per cell]  4 K 2.98, 4 Os 2.98
Re  0.2500  0.2500  0.7500 [4 per cell]  4 K 2.98, 4 Os 2.98
Os  0.0000  0.0000  0.5000 [4 per cell]  4 Re 2.98, 4 K 2.98

Results
M_tot = 0.000 μB/atom
DOS at the Fermi energy = 2.95 states/eV/f.u.

***

Which structure is most stable, and how do the rest compare? From most to least stable: *B*, *C*, *A*.

***

*A*
DFT (PBE) results for a relaxed KReOs2 crystal.

a b c (Å): 2.7943 2.7943 30.7440
angles (deg): 90.00 90.00 120.00
Closest atoms and distances in Å follow each position.
Space group R-3m (No. 166, hexagonal axes)
Inequivalent atoms, fractional coordinates:
K  0.0000  0.0000  0.0000 [3 per cell]  6 K 2.79
Re  0.0000  0.0000  0.5000 [3 per cell]  6 Os 2.68, 6 Re 2.79
Os  0.0000  0.0000  0.2361 [6 per cell]  3 Re 2.68, 6 Os 2.79

Results
M_tot = 0.000 μB/atom
DOS at the Fermi energy = 4.16 states/eV/f.u.

***

*B*
DFT (PBE) results for a relaxed KReOs2 crystal.

a b c (Å): 2.7060 4.2747 7.4517
angles (deg): 90.00 91.89 90.00
Closest atoms and distances in Å follow each position.
Space group Pm (No. 6)
Inequivalent atoms, fractional coordinates:
K  0.0000  0.0000  0.0000 [1 per cell]  2 K 2.71
Re  0.0659  0.5000  0.6277 [1 per cell]  6 Os 2.62-2.64, 2 Re 2.71
Os  0.5373  0.5000  0.3245 [1 per cell]  2 Re 2.63, 4 Os 2.64-2.71
Os  0.5511  0.0000  0.5326 [1 per cell]  4 Re 2.62-2.64, 4 Os 2.64-2.71

Results
M_tot = 0.000 μB/atom
DOS at the Fermi energy = 4.62 states/eV/f.u.

***

Which structure is most stable, and how do the rest compare? From most to least stable: *A*, *B*.

***

*A*
DFT (PBE) results for a relaxed KReOs2 crystal.

a b c (Å): 9.1435 2.7899 6.9490
angles (deg): 90.00 97.16 90.00
Closest atoms and distances in Å follow each position.
Space group C2/m (No. 12)
Inequivalent atoms, fractional coordinates:
K  0.0000  0.0000  0.0000 [2 per cell]  2 K 2.79
Re  0.0000  0.5000  0.5000 [2 per cell]  6 Os 2.56-2.84, 2 Re 2.79
Os  0.2218  0.0000  0.6424 [4 per cell]  4 Os 2.53-2.79, 2 Re 2.56

Results
M_tot = 0.000 μB/atom
DOS at the Fermi energy = 4.52 states/eV/f.u.

***

*B*
DFT (PBE) results for a relaxed KReOs2 crystal.

a b c (Å): 5.0460 5.0460 2.6783
angles (deg): 90.00 90.00 90.00
Closest atoms and distances in Å follow each position.
Space group P4/mmm (No. 123)
Inequivalent atoms, fractional coordinates:
K  0.0000  0.0000  0.0000 [1 per cell]  2 K 2.68, 8 Os 2.86
Re  0.5000  0.5000  0.0000 [1 per cell]  2 Re 2.68, 8 Os 2.86
Os  0.0000  0.5000  0.5000 [2 per cell]  2 Os 2.68, 4 K 2.86, 4 Re 2.86

Results
M_tot = 0.004 μB/atom
DOS at the Fermi energy = 4.13 states/eV/f.u.

***

Which structure is most stable, and how do the rest compare? From most to least stable: *A*, *B*.

***

*A*
DFT (PBE) results for a relaxed KReOs2 crystal.

a b c (Å): 2.8659 4.6592 10.3212
angles (deg): 90.00 90.00 90.00
Closest atoms and distances in Å follow each position.
Space group Cmmm (No. 65)
Inequivalent atoms, fractional coordinates:
K  0.0000  0.0000  0.0000 [2 per cell]  6 K 2.74-2.87
Re  0.0000  0.0000  0.5000 [2 per cell]  4 Os 2.65, 6 Re 2.74-2.87
Os  0.0000  0.5000  0.2843 [4 per cell]  2 Re 2.65, 6 Os 2.74-2.87

Results
M_tot = 0.000 μB/atom
DOS at the Fermi energy = 2.95 states/eV/f.u.

***

*B*
DFT (PBE) results for a relaxed KReOs2 crystal.

a b c (Å): 2.8496 4.6343 10.4894
angles (deg): 90.00 90.00 90.00
Closest atoms and distances in Å follow each position.
Space group Cmm2 (No. 35)
Inequivalent atoms, fractional coordinates:
K  0.0000  0.0000  0.0000 [2 per cell]  6 K 2.72-2.85
Re  0.0000  0.5000  0.2913 [2 per cell]  2 Os 2.64, 6 Re 2.72-2.85
Os  0.0000  0.0000  0.5037 [2 per cell]  2 Re 2.64, 8 Os 2.70-2.85
Os  0.0000  0.5000  0.7218 [2 per cell]  8 Os 2.70-2.85

Results
M_tot = 0.000 μB/atom
DOS at the Fermi energy = 4.43 states/eV/f.u.

***

*C*
DFT (PBE) results for a relaxed KReOs2 crystal.

a b c (Å): 6.3945 6.3945 6.3945
angles (deg): 90.00 90.00 90.00
Closest atoms and distances in Å follow each position.
Space group Fm-3m (No. 225)
Inequivalent atoms, fractional coordinates:
K  0.0000  0.0000  0.0000 [4 per cell]  8 Os 2.77
Re  0.0000  0.0000  0.5000 [4 per cell]  8 Os 2.77
Os  0.2500  0.2500  0.2500 [8 per cell]  4 K 2.77, 4 Re 2.77

Results
M_tot = 0.000 μB/atom
DOS at the Fermi energy = 1.13 states/eV/f.u.

***

Which structure is most stable, and how do the rest compare? From most to least stable: *A*, *B*, *C*.